[1]
# TlCuTe3As

A relaxed TlCuTe3As crystal (PBE-GGA, the Alexandria database).

```
data_TlCuTe3As
_cell_length_a 9.6088
_cell_length_b 4.1005
_cell_length_c 9.6639
_cell_angle_alpha 90.00
_cell_angle_beta 108.36
_cell_angle_gamma 90.00
_symmetry_space_group_name_H-M 'P 1 21/m 1'
_symmetry_Int_Tables_number 11
loop_
_symmetry_equiv_pos_as_xyz
'x,y,z'
'-x,-y,-z'
'-x,y+1/2,-z'
'x,-y+1/2,z'
loop_
_atom_site_label
_atom_site_type_symbol
_atom_site_fract_x
_atom_site_fract_y
_atom_site_fract_z
Tl1 Tl 0.1802 0.2500 0.2281
Cu1 Cu 0.0678 0.2500 0.5719
Te1 Te 0.1245 0.2500 0.8578
Te2 Te 0.2204 0.7500 0.5295
Te3 Te 0.4577 0.7500 0.1645
As1 As 0.3409 0.7500 0.8642
```

## Properties
As for the uncorrected formation energy: -0.087 eV/atom. Its density of states at the Fermi level is 8.65 states/eV/cell. The calculation puts the calculated volume at 361.4 Å³ per cell. Its size of the total moment is 0.00 μB per cell.

=====

[2]
# Rb3Pr2InO6

A relaxed Rb3Pr2InO6 crystal (PBE-GGA, the Alexandria database).

```
data_Rb3Pr2InO6
_cell_length_a 6.2392
_cell_length_b 10.8116
_cell_length_c 6.9151
_cell_angle_alpha 90.00
_cell_angle_beta 107.42
_cell_angle_gamma 90.00
_symmetry_space_group_name_H-M 'C 1 2/m 1'
_symmetry_Int_Tables_number 12
loop_
_symmetry_equiv_pos_as_xyz
'x,y,z'
'-x,-y,-z'
'-x,y,-z'
'x,-y,z'
'x+1/2,y+1/2,z'
'-x+1/2,-y+1/2,-z'
'-x+1/2,y+1/2,-z'
'x+1/2,-y+1/2,z'
loop_
_atom_site_label
_atom_site_type_symbol
_atom_site_fract_x
_atom_site_fract_y
_atom_site_fract_z
Rb1 Rb 0.0000 0.0000 0.0000
Rb2 Rb 0.0000 0.3371 0.0000
Pr1 Pr 0.0000 0.1667 0.5000
In1 In 0.0000 0.5000 0.5000
O1 O 0.2194 0.3410 0.6815
O2 O 0.2420 0.0000 0.6813
```

## Properties
As for the uncorrected formation energy: -2.136 eV/atom. Its density of states at the Fermi level is 0.00 states/eV/cell. The calculation puts the calculated volume at 445.1 Å³ per cell. Its size of the total moment is 0.00 μB per cell.

=====

[3]
# Sc3PdO

A relaxed Sc3PdO crystal (PBE-GGA, the Alexandria database).

```
data_Sc3PdO
_cell_length_a 8.5138
_cell_length_b 11.8677
_cell_length_c 3.3747
_cell_angle_alpha 90.00
_cell_angle_beta 90.00
_cell_angle_gamma 90.00
_symmetry_space_group_name_H-M 'C m m m'
_symmetry_Int_Tables_number 65
_symmetry_space_group_name_Hall '-C 2 2'
loop_
_atom_site_label
_atom_site_type_symbol
_atom_site_fract_x
_atom_site_fract_y
_atom_site_fract_z
Sc1 Sc 0.0000 0.1885 0.0000
Sc2 Sc 0.1891 0.3687 0.5000
Pd1 Pd 0.0000 0.0000 0.5000
Pd2 Pd 0.0000 0.5000 0.0000
O1 O 0.2500 0.2500 0.0000
```

## Properties
As for the uncorrected formation energy: -1.486 eV/atom. Its density of states at the Fermi level is 14.36 states/eV/cell. The calculation puts the calculated volume at 341.0 Å³ per cell. Its size of the total moment is 0.00 μB per cell.